[1]
Mn3P2 | GGA-PBE | optimized geometry

Energy relative to the elements   -0.0763 eV/atom

Lattice parameters (Å, degrees): 3.3602 3.3602 21.1002 90.00 90.00 120.00
Space group R-3m (No. 166, hexagonal axes)
Unique sites:
Mn: 0.0000 0.0000 0.0000 x3
Mn: 0.0000 0.0000 0.2116 x6
P: 0.0000 0.0000 0.3996 x6



[2]
TbHfNi4 | GGA-PBE | optimized geometry

Energy relative to the elements   -0.4071 eV/atom

Lattice parameters (Å, degrees): 7.0576 7.0576 7.0576 90.00 90.00 90.00
Space group F-43m (No. 216)
Unique sites:
Tb: 0.0000 0.0000 0.0000 x4
Hf: 0.2500 0.2500 0.7500 x4
Ni: 0.1243 0.1243 0.3757 x16



[3]
LiOs2I | GGA-PBE | optimized geometry

E_form (uncorrected)   0.999 eV/atom
ΔE to the lowest computed polymorph   0.000 eV/atom

Lattice parameters (Å, degrees): 6.2208 6.2208 6.2208 90.00 90.00 90.00
Space group Fm-3m (No. 225)
Unique sites:
Li: 0.0000 0.0000 0.0000 x4
Os: 0.2500 0.2500 0.2500 x8
I: 0.0000 0.0000 0.5000 x4



[4]
SmIn5Rh | GGA-PBE | optimized geometry

Energy relative to the elements   -0.4426 eV/atom

Lattice parameters (Å, degrees): 4.6821 4.6821 7.5624 90.00 90.00 90.00
Space group P4/mmm (No. 123)
Unique sites:
Sm: 0.0000 0.0000 0.0000 x1
In: 0.0000 0.5000 0.3027 x4
In: 0.5000 0.5000 0.0000 x1
Rh: 0.0000 0.0000 0.5000 x1